{"formula": "YCrTc2", "functional": "PBE", "state": "optimized geometry", "lattice": [[-3.490, 2.866, 0.189], [-2.730, 0.001, 3.602], [0.079, 3.470, 2.895]], "species": ["Cr", "Tc", "Tc", "Y"], "frac_coords": [[0.500, 0.500, 0.500], [0.000, 0.000, 0.000], [0.250, 0.250, 0.250], [0.750, 0.750, 0.750]], "dft_energy_ev_per_atom": -8.8945, "formation_energy_ev_per_atom": 0.310, "e_above_lowest_polymorph_ev_per_atom": 0.134, "density_g_cm3": 8.57, "spacegroup": "F-43m (216)"}